48
Lattice="7.6200 0.0000 0.0000 0.0000 7.4636 0.0655 0.0000 0.3635 8.2594" Properties=species:S:1:pos:R:3 comment="VH12C6NO4, relaxed, DFT PBE with a Hubbard U" n_ef_per_ev_atom=0.0000 final_energy_ev_per_atom=-5.92 pbc="T T T"
H 5.2654 6.3924 7.3730
H 7.1696 0.5398 7.9327
H 4.0484 4.6091 4.2374
H 1.4554 1.4347 0.9519
H 3.0533 2.2140 6.8835
H 5.1660 5.9467 4.5905
H 4.1291 4.1648 7.7897
H 3.1464 6.4757 3.0084
H 3.3360 7.5928 4.3707
H 1.3560 1.8804 3.7344
H 4.2262 7.4552 6.4007
H 3.3866 5.5251 0.6469
H 3.1444 2.8197 5.2100
H 7.1460 0.2343 3.9542
H 6.8633 5.6130 1.4414
H 5.1173 3.7473 6.3723
H 7.1966 2.3020 7.6780
H 0.2385 3.2179 4.0875
H 0.4163 0.3719 1.9242
H 3.3596 7.2873 0.3922
H 0.3191 3.6623 0.5351
H 1.3073 4.0798 1.9526
H 6.9564 1.3514 5.3165
H 6.9544 5.0074 3.1149
C 4.1314 5.5892 4.7263
C 3.2355 6.6781 8.1490
C 3.0214 3.1251 6.2641
C 6.8314 4.7019 2.0608
C 4.1194 4.0916 6.6941
C 6.9275 1.2830 4.2175
C 7.0455 1.1490 0.1759
C 0.4257 1.2876 1.3162
C 0.3214 2.2379 3.5986
C 4.2357 6.5395 7.0086
C 3.1175 6.5441 4.1074
C 0.3095 3.7354 1.6308
O 1.9016 6.5824 7.6416
O 5.6100 1.6138 3.7729
O 7.4062 5.5962 6.2567
O 1.7402 3.7341 6.4215
O 5.7116 1.2447 0.6832
O 3.5962 2.2309 2.0681
O 5.5502 4.0930 1.9034
O 1.8000 6.2133 4.5520
N 7.6065 2.4042 2.1738
N 3.7965 5.4229 6.1511
V 5.2399 2.2951 2.1101
V 1.4299 5.5319 6.2148